Density functional theory data (PBE) for an optimized crystal structure of BaSn2Au.

Cell: 5.4664 5.4664 5.4664 Å, 60.00 60.00 60.00°
Positions (direct):
1 Au 0.5000 0.5000 0.5000
2 Ba 0.2500 0.2500 0.2500
3 Sn 0.0000 0.0000 0.0000
4 Sn 0.7500 0.7500 0.7500

volume = 116 Å³ per cell
uncorrected energy = -3.627 eV/atom



Density functional theory data (PBE) for an optimized crystal structure of Ta2GaC.

Cell: 3.1256 3.1256 13.6357 Å, 90.00 90.00 120.00°
Positions (direct):
1 Ta 0.6667 0.3333 0.4097
2 Ta 0.3333 0.6667 0.9097
3 Ta 0.3333 0.6667 0.5903
4 Ta 0.6667 0.3333 0.0903
5 C 0.0000 0.0000 0.0000
6 C 0.0000 0.0000 0.5000
7 Ga 0.3333 0.6667 0.2499
8 Ga 0.6667 0.3333 0.7501

volume = 115 Å³ per cell
uncorrected energy = -9.508 eV/atom



Density functional theory data (PBE) for an optimized crystal structure of ZnCuSiIr.

Cell: 4.2548 4.2548 4.2548 Å, 60.00 60.00 60.00°
Positions (direct):
1 Cu 0.7500 0.7500 0.7500
2 Si 0.0000 0.0000 0.0000
3 Zn 0.2500 0.2500 0.2500
4 Ir 0.5000 0.5000 0.5000

volume = 54 Å³ per cell
uncorrected energy = -4.626 eV/atom
offset from the most stable computed form = 0.352 eV/atom



Density functional theory data (PBE) for an optimized crystal structure of PrGdMg6Ge3.

Cell: 8.1881 8.1881 4.3150 Å, 90.00 90.00 120.00°
Positions (direct):
1 Gd 0.0000 0.0000 0.0000
2 Mg 0.3809 0.3360 0.5000
3 Mg 0.8704 0.3296 0.0000
4 Mg 0.6704 0.5409 0.0000
5 Mg 0.4591 0.1296 0.0000
6 Mg 0.9551 0.6191 0.5000
7 Mg 0.6640 0.0449 0.5000
8 Ge 0.2695 0.9435 0.5000
9 Ge 0.6741 0.7305 0.5000
10 Ge 0.0565 0.3259 0.5000
11 Pr 0.3333 0.6667 0.0000

volume = 251 Å³ per cell
uncorrected energy = -3.322 eV/atom



Density functional theory data (PBE) for an optimized crystal structure of Hf4InPN2.

Cell: 3.3036 3.3036 13.3133 Å, 90.00 90.00 120.00°
Positions (direct):
1 N 0.3333 0.6667 0.7286
2 N 0.3333 0.6667 0.2715
3 Hf 0.6667 0.3333 0.1822
4 Hf 0.0000 0.0000 0.6327
5 Hf 0.0000 0.0000 0.3673
6 Hf 0.6667 0.3333 0.8178
7 P 0.6667 0.3333 0.5000
8 In 0.0000 0.0000 0.0000

volume = 126 Å³ per cell
uncorrected energy = -9.316 eV/atom



Density functional theory data (PBE) for an optimized crystal structure of RbZrGeS3.

Cell: 8.0345 8.0345 10.9185 Å, 90.00 90.00 152.41°
Site moments in Bohr magnetons follow the coordinates.
Positions (direct):
1 S 0.9948 0.0052 0.2500  -0.01
2 S 0.6119 0.3881 0.5106  -0.01
3 S 0.0052 0.9948 0.7500  -0.01
4 S 0.3881 0.6119 0.4894  -0.01
5 S 0.3881 0.6119 0.0106  -0.01
6 S 0.6119 0.3881 0.9894  -0.01
7 Rb 0.3024 0.6976 0.7500  0.00
8 Rb 0.6976 0.3024 0.2500  0.00
9 Ge 0.3973 0.6027 0.2500  0.00
10 Ge 0.6027 0.3973 0.7500  0.00
11 Zr 0.0000 0.0000 0.5000  0.19
12 Zr 0.0000 0.0000 0.0000  0.19

volume = 326 Å³ per cell
uncorrected energy = -5.356 eV/atom